Compound: Li3Pd4Au
Source: Alexandria
Functional: PBE
Structure: relaxed

calculated volume	16.4	A^3/atom
ρ	8.14	g/cm3
energy above the most stable polymorph in this dataset	330	meV per atom
energy relative to the elements	-0.0476	eV/atom
space-group type	No. 44

```
Li3Pd4Au
1.0
-2.4978 3.4684 3.7879
2.4978 -3.4684 3.7879
2.4978 3.4684 -3.7879
Li Pd Au
3 4 1
Direct
0.0000 0.0000 0.0000
0.0955 0.2807 0.8148
0.4660 0.2807 0.1852
0.2658 0.5753 0.6906
0.7290 0.4788 0.7499
0.7290 0.9791 0.2501
0.8847 0.5753 0.3094
0.4001 0.9001 0.5000
```

Compound: Li7Pd2Au3
Source: Alexandria
Functional: PBE
Structure: relaxed

calculated volume	16.0	A^3/atom
ρ	7.39	g/cm3
energy relative to the elements	-0.3590	eV/atom
space-group type	No. 10

```
Li7Pd2Au3
1.0
4.1305 0.0000 0.0000
0.0000 3.9317 0.0000
-2.0314 0.0000 11.7932
Li Pd Au
7 2 3
Direct
0.0000 0.0000 0.0000
0.0833 0.5000 0.1657
0.2249 0.5000 0.4498
0.4151 0.0000 0.8309
0.5849 0.0000 0.1691
0.7751 0.5000 0.5502
0.9167 0.5000 0.8343
0.3434 0.5000 0.6857
0.6566 0.5000 0.3143
0.1546 0.0000 0.3106
0.5000 0.5000 0.0000
0.8454 0.0000 0.6894
```

Compound: Li2Pd4Au5
Source: Alexandria
Functional: PBE
Structure: relaxed

calculated volume	17.2	A^3/atom
ρ	12.54	g/cm3
energy above the most stable polymorph in this dataset	0	meV per atom
energy relative to the elements	-0.1835	eV/atom
space-group type	No. 2

```
Li2Pd4Au5
1.0
5.4792 0.0000 0.0000
2.5860 4.9534 0.0000
2.4404 -0.7300 6.9517
Li Pd Au
2 4 5
Direct
0.0786 0.1705 0.1686
0.9214 0.8295 0.8314
0.2262 0.5475 0.5058
0.4352 0.3227 0.8126
0.5648 0.6773 0.1874
0.7738 0.4525 0.4942
0.0611 0.6769 0.1802
0.4155 0.8233 0.8579
0.5000 0.0000 0.5000
0.5845 0.1767 0.1421
0.9389 0.3231 0.8198
```

Compound: Li3Pd2Au
Source: Alexandria
Functional: PBE
Structure: relaxed

calculated volume	14.4	A^3/atom
ρ	8.30	g/cm3
energy above the most stable polymorph in this dataset	21	meV per atom
energy relative to the elements	-0.4516	eV/atom
space-group type	No. 123

```
Li3Pd2Au
1.0
2.8399 0.0000 0.0000
0.0000 2.8399 0.0000
0.0000 0.0000 10.6809
Li Pd Au
3 2 1
Direct
0.0000 0.0000 0.0000
0.0000 0.0000 0.3234
0.0000 0.0000 0.6766
0.5000 0.5000 0.1619
0.5000 0.5000 0.8381
0.5000 0.5000 0.5000
```

> Among the records above, which one has the highest ρ?

Li2Pd4Au5